1.
VASP calculation (GGA-PBE) on a geometry-optimized Li3NiRh structure.

Properties
Distance to the lowest polymorph of the same formula (meV/atom): 645
Electronic total energy (eV per atom): -3.061
D(E_F) (states/eV/f.u.): 6.25

a b c (Å): 4.4474 4.4474 4.4474
angles (deg): 90.00 90.00 90.00
Element x y z (fractional)
1 Li 0.0000 0.0000 0.5000
2 Li 0.0000 0.5000 0.0000
3 Li 0.5000 0.0000 0.0000
4 Ni 0.5000 0.5000 0.5000
5 Rh 0.0000 0.0000 0.0000

2.
VASP calculation (GGA-PBE) on a geometry-optimized HgGeOs2 structure.

Properties
Distance to the lowest polymorph of the same formula (meV/atom): 88
Electronic total energy (eV per atom): -5.906
D(E_F) (states/eV/f.u.): 3.53

a b c (Å): 4.1199 4.1199 18.3154
angles (deg): 90.00 90.00 90.00
Element x y z (fractional)
1 Hg 0.0000 0.0000 0.0000
2 Hg 0.0000 0.5000 0.2500
3 Hg 0.5000 0.0000 0.7500
4 Hg 0.5000 0.5000 0.5000
5 Ge 0.0000 0.0000 0.5000
6 Ge 0.0000 0.5000 0.7500
7 Ge 0.5000 0.0000 0.2500
8 Ge 0.5000 0.5000 0.0000
9 Os 0.1513 0.2500 0.6250
10 Os 0.2500 0.6513 0.8750
11 Os 0.2500 0.8487 0.3750
12 Os 0.3487 0.2500 0.1250
13 Os 0.6513 0.7500 0.1250
14 Os 0.7500 0.1513 0.3750
15 Os 0.7500 0.3487 0.8750
16 Os 0.8487 0.7500 0.6250

3.
VASP calculation (GGA-PBE) on a geometry-optimized Ba2AcNbO6 structure.

Properties
Electronic total energy (eV per atom): -7.697
ΔE_f (raw) (eV/atom): -2.919
D(E_F) (states/eV/f.u.): 0.00

a b c (Å): 6.2563 6.2571 10.7441
angles (deg): 90.00 124.80 90.00
Element x y z (fractional)
1 Ba 0.2391 0.0258 0.2486
2 Ba 0.2391 0.4742 0.7486
3 Ba 0.7609 0.5258 0.2514
4 Ba 0.7609 0.9742 0.7514
5 Ac 0.5000 0.0000 0.0000
6 Ac 0.5000 0.5000 0.5000
7 Nb 0.0000 0.0000 0.5000
8 Nb 0.0000 0.5000 0.0000
9 O 0.1491 0.2443 0.9543
10 O 0.1491 0.2557 0.4543
11 O 0.2089 0.7001 0.9580
12 O 0.2089 0.7999 0.4580
13 O 0.3027 0.0196 0.7235
14 O 0.3027 0.4804 0.2235
15 O 0.6973 0.5196 0.7765
16 O 0.6973 0.9804 0.2765
17 O 0.7911 0.2001 0.5420
18 O 0.7911 0.2999 0.0420
19 O 0.8509 0.7443 0.5457
20 O 0.8509 0.7557 0.0457

Q: Which formula does entry 1 have?
A: Li3NiRh

Repeat the second record exactly.
VASP calculation (GGA-PBE) on a geometry-optimized HgGeOs2 structure.

Properties
Distance to the lowest polymorph of the same formula (meV/atom): 88
Electronic total energy (eV per atom): -5.906
D(E_F) (states/eV/f.u.): 3.53

a b c (Å): 4.1199 4.1199 18.3154
angles (deg): 90.00 90.00 90.00
Element x y z (fractional)
1 Hg 0.0000 0.0000 0.0000
2 Hg 0.0000 0.5000 0.2500
3 Hg 0.5000 0.0000 0.7500
4 Hg 0.5000 0.5000 0.5000
5 Ge 0.0000 0.0000 0.5000
6 Ge 0.0000 0.5000 0.7500
7 Ge 0.5000 0.0000 0.2500
8 Ge 0.5000 0.5000 0.0000
9 Os 0.1513 0.2500 0.6250
10 Os 0.2500 0.6513 0.8750
11 Os 0.2500 0.8487 0.3750
12 Os 0.3487 0.2500 0.1250
13 Os 0.6513 0.7500 0.1250
14 Os 0.7500 0.1513 0.3750
15 Os 0.7500 0.3487 0.8750
16 Os 0.8487 0.7500 0.6250

Q: Which value of D(E_F) does entry 3 give?
A: 0.00 states/eV/f.u.

Q: Which of these has the highest D(E_F)?
A: Li3NiRh